No. 1
ZnNi2Ge | PBE-GGA | relaxed

Results
* raw total energy: -17.13 eV/f.u.
* energy above the most stable polymorph in this dataset: 7.119 kcal/mol of atoms
* space group: I-42d, No. 122

Geometry as CIF:
```
data_ZnNi2Ge
_chemical_formula_sum 'Zn2 Ni4 Ge2'
_cell_length_a 5.296
_cell_length_b 5.296
_cell_length_c 5.296
_cell_angle_alpha 103.92
_cell_angle_beta 103.92
_cell_angle_gamma 121.25
_space_group_name_H-M_alt 'P 1'
_space_group_IT_number 1
loop_
_space_group_symop_operation_xyz
'x,y,z'
loop_
_atom_site_label
_atom_site_fract_x
_atom_site_fract_y
_atom_site_fract_z
_atom_site_occupancy
Zn1 0.000 0.000 0.000 1
Zn2 0.750 0.250 0.500 1
Ni1 0.141 0.625 0.016 1
Ni2 0.375 0.391 0.516 1
Ni3 0.609 0.125 0.984 1
Ni4 0.875 0.859 0.484 1
Ge1 0.250 0.750 0.500 1
Ge2 0.500 0.500 0.000 1
```

---

No. 2
Zn6Ni7Ge2 | PBE-GGA | relaxed

Results
* raw total energy: -60.75 eV/f.u.
* space group: Fd-3m, No. 227

Geometry as CIF:
```
data_Zn6Ni7Ge2
_chemical_formula_sum 'Zn12 Ni14 Ge4'
_cell_length_a 8.150
_cell_length_b 8.150
_cell_length_c 8.150
_cell_angle_alpha 60.00
_cell_angle_beta 60.00
_cell_angle_gamma 60.00
_space_group_name_H-M_alt 'P 1'
_space_group_IT_number 1
loop_
_space_group_symop_operation_xyz
'x,y,z'
loop_
_atom_site_label
_atom_site_fract_x
_atom_site_fract_y
_atom_site_fract_z
_atom_site_occupancy
Zn1 0.000 0.000 0.000 1
Zn2 0.000 0.000 0.500 1
Zn3 0.000 0.500 0.000 1
Zn4 0.251 0.251 0.251 1
Zn5 0.251 0.251 0.746 1
Zn6 0.251 0.746 0.251 1
Zn7 0.254 0.749 0.749 1
Zn8 0.500 0.000 0.000 1
Zn9 0.746 0.251 0.251 1
Zn10 0.749 0.254 0.749 1
Zn11 0.749 0.749 0.254 1
Zn12 0.749 0.749 0.749 1
Ni1 0.125 0.125 0.125 1
Ni2 0.126 0.126 0.624 1
Ni3 0.126 0.624 0.126 1
Ni4 0.126 0.624 0.624 1
Ni5 0.376 0.376 0.874 1
Ni6 0.376 0.874 0.376 1
Ni7 0.376 0.874 0.874 1
Ni8 0.624 0.126 0.126 1
Ni9 0.624 0.126 0.624 1
Ni10 0.624 0.624 0.126 1
Ni11 0.874 0.376 0.376 1
Ni12 0.874 0.376 0.874 1
Ni13 0.874 0.874 0.376 1
Ni14 0.875 0.875 0.875 1
Ge1 0.000 0.500 0.500 1
Ge2 0.500 0.000 0.500 1
Ge3 0.500 0.500 0.000 1
Ge4 0.500 0.500 0.500 1
```

---

No. 3
Zn3NiGe | PBE-GGA | relaxed

Results
* raw total energy: -12.53 eV/f.u.
* energy above the most stable polymorph in this dataset: 0.000 kcal/mol of atoms
* space group: Pm-3m, No. 221

Geometry as CIF:
```
data_Zn3NiGe
_chemical_formula_sum 'Zn3 Ni1 Ge1'
_cell_length_a 4.539
_cell_length_b 4.539
_cell_length_c 4.539
_cell_angle_alpha 90.00
_cell_angle_beta 90.00
_cell_angle_gamma 90.00
_space_group_name_H-M_alt 'P 1'
_space_group_IT_number 1
loop_
_space_group_symop_operation_xyz
'x,y,z'
loop_
_atom_site_label
_atom_site_fract_x
_atom_site_fract_y
_atom_site_fract_z
_atom_site_occupancy
Zn1 0.000 0.000 0.500 1
Zn2 0.000 0.500 0.000 1
Zn3 0.500 0.000 0.000 1
Ni1 0.000 0.000 0.000 1
Ge1 0.500 0.500 0.500 1
```

---

No. 4
ZnNi2Ge | PBE-GGA | relaxed

Results
* raw total energy: -18.23 eV/f.u.
* energy above the most stable polymorph in this dataset: 0.768 kcal/mol of atoms
* space group: P4/mmm, No. 123

Geometry as CIF:
```
data_ZnNi2Ge
_chemical_formula_sum 'Zn1 Ni2 Ge1'
_cell_length_a 2.930
_cell_length_b 2.930
_cell_length_c 5.821
_cell_angle_alpha 90.00
_cell_angle_beta 90.00
_cell_angle_gamma 90.00
_space_group_name_H-M_alt 'P 1'
_space_group_IT_number 1
loop_
_space_group_symop_operation_xyz
'x,y,z'
loop_
_atom_site_label
_atom_site_fract_x
_atom_site_fract_y
_atom_site_fract_z
_atom_site_occupancy
Zn1 0.000 0.000 0.000 1
Ni1 0.500 0.500 0.264 1
Ni2 0.500 0.500 0.736 1
Ge1 0.000 0.000 0.500 1
```

---

No. 5
ZnNi2Ge | PBE-GGA | relaxed

Results
* raw total energy: -17.86 eV/f.u.
* energy above the most stable polymorph in this dataset: 2.931 kcal/mol of atoms
* space group: R3m, No. 160

Geometry as CIF:
```
data_ZnNi2Ge
_chemical_formula_sum 'Zn1 Ni2 Ge1'
_cell_length_a 4.816
_cell_length_b 4.816
_cell_length_c 4.816
_cell_angle_alpha 47.61
_cell_angle_beta 47.61
_cell_angle_gamma 47.61
_space_group_name_H-M_alt 'P 1'
_space_group_IT_number 1
loop_
_space_group_symop_operation_xyz
'x,y,z'
loop_
_atom_site_label
_atom_site_fract_x
_atom_site_fract_y
_atom_site_fract_z
_atom_site_occupancy
Zn1 0.000 0.000 0.000 1
Ni1 0.577 0.577 0.577 1
Ni2 0.786 0.786 0.786 1
Ge1 0.195 0.195 0.195 1
```

---

No. 6
Zn6Ni12Ge | PBE-GGA | relaxed

Results
* raw total energy: -82.03 eV/f.u.
* space group: R-3, No. 148

Geometry as CIF:
```
data_Zn6Ni12Ge
_chemical_formula_sum 'Zn6 Ni12 Ge1'
_cell_length_a 6.167
_cell_length_b 6.167
_cell_length_c 6.167
_cell_angle_alpha 92.32
_cell_angle_beta 92.32
_cell_angle_gamma 92.32
_space_group_name_H-M_alt 'P 1'
_space_group_IT_number 1
loop_
_space_group_symop_operation_xyz
'x,y,z'
loop_
_atom_site_label
_atom_site_fract_x
_atom_site_fract_y
_atom_site_fract_z
_atom_site_occupancy
Zn1 0.206 0.379 0.773 1
Zn2 0.227 0.794 0.621 1
Zn3 0.379 0.773 0.206 1
Zn4 0.621 0.227 0.794 1
Zn5 0.773 0.206 0.379 1
Zn6 0.794 0.621 0.227 1
Ni1 0.042 0.955 0.288 1
Ni2 0.045 0.712 0.958 1
Ni3 0.135 0.459 0.362 1
Ni4 0.288 0.042 0.955 1
Ni5 0.362 0.135 0.459 1
Ni6 0.459 0.362 0.135 1
Ni7 0.541 0.638 0.865 1
Ni8 0.638 0.865 0.541 1
Ni9 0.712 0.958 0.045 1
Ni10 0.865 0.541 0.638 1
Ni11 0.955 0.288 0.042 1
Ni12 0.958 0.045 0.712 1
Ge1 0.500 0.500 0.500 1
```

---

No. 7
Zn4Ni15Ge | PBE-GGA | relaxed

Results
* raw total energy: -99.23 eV/f.u.
* space group: P4/mmm, No. 123

Geometry as CIF:
```
data_Zn4Ni15Ge
_chemical_formula_sum 'Zn4 Ni15 Ge1'
_cell_length_a 3.575
_cell_length_b 3.575
_cell_length_c 17.930
_cell_angle_alpha 90.00
_cell_angle_beta 90.00
_cell_angle_gamma 90.00
_space_group_name_H-M_alt 'P 1'
_space_group_IT_number 1
loop_
_space_group_symop_operation_xyz
'x,y,z'
loop_
_atom_site_label
_atom_site_fract_x
_atom_site_fract_y
_atom_site_fract_z
_atom_site_occupancy
Zn1 0.000 0.000 0.100 1
Zn2 0.000 0.000 0.300 1
Zn3 0.000 0.000 0.700 1
Zn4 0.000 0.000 0.900 1
Ni1 0.000 0.500 0.000 1
Ni2 0.000 0.500 0.200 1
Ni3 0.000 0.500 0.401 1
Ni4 0.000 0.500 0.599 1
Ni5 0.000 0.500 0.800 1
Ni6 0.500 0.000 0.000 1
Ni7 0.500 0.000 0.200 1
Ni8 0.500 0.000 0.401 1
Ni9 0.500 0.000 0.599 1
Ni10 0.500 0.000 0.800 1
Ni11 0.500 0.500 0.100 1
Ni12 0.500 0.500 0.301 1
Ni13 0.500 0.500 0.500 1
Ni14 0.500 0.500 0.699 1
Ni15 0.500 0.500 0.900 1
Ge1 0.000 0.000 0.500 1
```

---

No. 8
ZnNiGe2 | PBE-GGA | relaxed

Results
* raw total energy: -16.18 eV/f.u.
* space group: R-3m, No. 166

Geometry as CIF:
```
data_ZnNiGe2
_chemical_formula_sum 'Zn1 Ni1 Ge2'
_cell_length_a 8.453
_cell_length_b 8.453
_cell_length_c 8.453
_cell_angle_alpha 20.85
_cell_angle_beta 20.85
_cell_angle_gamma 20.85
_space_group_name_H-M_alt 'P 1'
_space_group_IT_number 1
loop_
_space_group_symop_operation_xyz
'x,y,z'
loop_
_atom_site_label
_atom_site_fract_x
_atom_site_fract_y
_atom_site_fract_z
_atom_site_occupancy
Zn1 0.000 0.000 0.000 1
Ni1 0.500 0.500 0.500 1
Ge1 0.099 0.099 0.099 1
Ge2 0.901 0.901 0.901 1
```

---

No. 9
Zn2Ni2Ge | PBE-GGA | relaxed

Results
* raw total energy: -18.75 eV/f.u.
* energy above the most stable polymorph in this dataset: 5.265 kcal/mol of atoms
* space group: P4/mbm, No. 127

Geometry as CIF:
```
data_Zn2Ni2Ge
_chemical_formula_sum 'Zn4 Ni4 Ge2'
_cell_length_a 7.107
_cell_length_b 7.107
_cell_length_c 2.712
_cell_angle_alpha 90.00
_cell_angle_beta 90.00
_cell_angle_gamma 90.00
_space_group_name_H-M_alt 'P 1'
_space_group_IT_number 1
loop_
_space_group_symop_operation_xyz
'x,y,z'
loop_
_atom_site_label
_atom_site_fract_x
_atom_site_fract_y
_atom_site_fract_z
_atom_site_occupancy
Zn1 0.130 0.370 0.000 1
Zn2 0.370 0.870 0.000 1
Zn3 0.630 0.130 0.000 1
Zn4 0.870 0.630 0.000 1
Ni1 0.165 0.665 0.500 1
Ni2 0.335 0.165 0.500 1
Ni3 0.665 0.835 0.500 1
Ni4 0.835 0.335 0.500 1
Ge1 0.000 0.000 0.000 1
Ge2 0.500 0.500 0.000 1
```

---

No. 10
Zn3Ni7Ge | PBE-GGA | relaxed

Results
* raw total energy: -48.47 eV/f.u.
* space group: C2/m, No. 12

Geometry as CIF:
```
data_Zn3Ni7Ge
_chemical_formula_sum 'Zn3 Ni7 Ge1'
_cell_length_a 5.920
_cell_length_b 5.920
_cell_length_c 4.542
_cell_angle_alpha 107.86
_cell_angle_beta 107.86
_cell_angle_gamma 90.01
_space_group_name_H-M_alt 'P 1'
_space_group_IT_number 1
loop_
_space_group_symop_operation_xyz
'x,y,z'
loop_
_atom_site_label
_atom_site_fract_x
_atom_site_fract_y
_atom_site_fract_z
_atom_site_occupancy
Zn1 0.000 0.000 0.000 1
Zn2 0.208 0.792 0.500 1
Zn3 0.792 0.208 0.500 1
Ni1 0.077 0.580 0.829 1
Ni2 0.219 0.219 0.544 1
Ni3 0.420 0.923 0.171 1
Ni4 0.500 0.500 0.500 1
Ni5 0.580 0.077 0.829 1
Ni6 0.781 0.781 0.456 1
Ni7 0.923 0.420 0.171 1
Ge1 0.500 0.500 0.000 1
```

---

Formation energy from the elements in eV/f.u., matching the order above: 0.32; -3.41; 1.69; -0.78; -0.41; -0.39; -2.80; 0.11; -0.02; 0.44
N(E_F) in states/eV per cell, matching the order above: 3.79; 18.13; 2.18; 2.94; 1.50; 16.06; 20.93; 1.54; 6.26; 8.71